(1)
Below is a geometry-optimized CoMo2Se structure, with properties calculated at the GGA-PBEsol level.

Lattice parameters (Å, degrees): 3.6938 3.6938 8.1520 90.00 90.00 90.00
Closest atoms and distances in Å follow each position.
Space group I4/mmm (No. 139)
Asymmetric unit:
1 Co 0.0000 0.0000 0.0000  4 Se 2.61, 8 Mo 2.75
2 Mo 0.0000 0.5000 0.2500  4 Mo 2.61, 4 Co 2.75, 4 Se 2.75
3 Se 0.0000 0.0000 0.5000  4 Co 2.61, 8 Mo 2.75

Properties
ΔE_f (raw) = 1.276 eV per formula unit
calculated total energy = -67.7 eV per cell
magnetic moment = 0.970 μB per cell

=====

(2)
Below is a geometry-optimized CoSiMo2 structure, with properties calculated at the GGA-PBEsol level.

Lattice parameters (Å, degrees): 3.1098 4.1431 8.1348 90.00 90.00 90.00
Closest atoms and distances in Å follow each position.
Space group Imm2 (No. 44)
Asymmetric unit:
1 Co 0.0000 0.0000 0.0000  2 Si 2.33, 4 Mo 2.60
2 Si 0.0000 0.5000 0.2864  2 Co 2.33, 4 Mo 2.60
3 Mo 0.0000 0.0000 0.5239  4 Co 2.60, 4 Si 2.64-2.83, 4 Mo 2.65-2.83
4 Mo 0.0000 0.5000 0.7607  4 Si 2.60, 4 Co 2.63-2.84, 4 Mo 2.65-2.83

Properties
ΔE_f (raw) = -0.796 eV per formula unit
calculated total energy = -75.6 eV per cell
magnetic moment = 1.518 μB per cell

=====

(3)
Below is a geometry-optimized CoSi2Mo structure, with properties calculated at the GGA-PBEsol level.

Lattice parameters (Å, degrees): 2.8971 2.8971 5.7715 90.00 90.00 90.00
Closest atoms and distances in Å follow each position.
Space group P4/mmm (No. 123)
Asymmetric unit:
1 Co 0.0000 0.0000 0.0000  8 Si 2.43
2 Si 0.5000 0.5000 0.2275  4 Co 2.43, 4 Mo 2.58, 1 Si 2.63
3 Mo 0.0000 0.0000 0.5000  8 Si 2.58, 2 Co 2.89

Properties
ΔE_f (raw) = -1.332 eV per formula unit
calculated total energy = -32.3 eV per cell
magnetic moment = 0.000 μB per cell

=====

(4)
Below is a geometry-optimized Co2SiMo structure, with properties calculated at the GGA-PBEsol level.

Lattice parameters (Å, degrees): 5.7072 5.7072 5.7072 90.00 90.00 90.00
Closest atoms and distances in Å follow each position.
Space group F-43m (No. 216)
Asymmetric unit:
1 Co 0.0000 0.0000 0.0000  4 Mo 2.47, 4 Co 2.47
2 Co 0.2500 0.2500 0.2500  4 Co 2.47, 4 Si 2.47
3 Si 0.0000 0.0000 0.5000  4 Mo 2.47, 4 Co 2.47
4 Mo 0.2500 0.2500 0.7500  4 Co 2.47, 4 Si 2.47

Properties
ΔE_f (raw) = -0.799 eV per formula unit
calculated total energy = -135.2 eV per cell
magnetic moment = 0.023 μB per cell

=====

(5)
Below is a geometry-optimized Co2SiMo structure, with properties calculated at the GGA-PBEsol level.

Lattice parameters (Å, degrees): 2.6393 2.6393 6.5053 90.00 90.00 90.00
Closest atoms and distances in Å follow each position.
Space group P4/mmm (No. 123)
Asymmetric unit:
1 Co 0.0000 0.0000 0.2091  4 Si 2.31
2 Si 0.5000 0.5000 0.0000  8 Co 2.31
3 Mo 0.5000 0.5000 0.5000  4 Mo 2.64, 8 Co 2.66

Properties
ΔE_f (raw) = -1.576 eV per formula unit
calculated total energy = -34.6 eV per cell
magnetic moment = 0.000 μB per cell

=====

(6)
Below is a geometry-optimized CoSiMo2 structure, with properties calculated at the GGA-PBEsol level.

Lattice parameters (Å, degrees): 3.0834 3.0834 5.5553 90.00 90.00 90.00
Closest atoms and distances in Å follow each position.
Space group P4mm (No. 99)
Asymmetric unit:
1 Co 0.0000 0.0000 0.0000  4 Si 2.50, 5 Mo 2.61-2.64
2 Si 0.5000 0.5000 0.7813  4 Co 2.50, 5 Mo 2.61-2.65
3 Mo 0.0000 0.0000 0.5240  4 Si 2.61, 4 Mo 2.63, 2 Co 2.64-2.91
4 Mo 0.5000 0.5000 0.2578  4 Co 2.61, 4 Mo 2.63, 2 Si 2.65-2.91

Properties
ΔE_f (raw) = -0.466 eV per formula unit
calculated total energy = -37.5 eV per cell
magnetic moment = 0.002 μB per cell

=====

(7)
Below is a geometry-optimized CoSiMo2 structure, with properties calculated at the GGA-PBEsol level.

Lattice parameters (Å, degrees): 2.6987 2.6987 25.4862 90.00 90.00 120.00
Closest atoms and distances in Å follow each position.
Space group R3m (No. 160, hexagonal axes)
Asymmetric unit:
1 Co 0.0000 0.0000 0.0000  3 Si 2.35, 3 Mo 2.61
2 Si 0.0000 0.0000 0.7358  3 Co 2.35
3 Mo 0.0000 0.0000 0.2513  3 Co 2.61, 9 Mo 2.70-2.90
4 Mo 0.0000 0.0000 0.4885  3 Si 2.69, 9 Mo 2.70-2.90

Properties
ΔE_f (raw) = 0.199 eV per formula unit
calculated total energy = -110.5 eV per cell
magnetic moment = 1.571 μB per cell

=====

(8)
Below is a geometry-optimized CoSiMo2 structure, with properties calculated at the GGA-PBEsol level.

Lattice parameters (Å, degrees): 3.6091 3.6298 7.9726 90.00 90.00 90.00
Closest atoms and distances in Å follow each position.
Space group Immm (No. 71)
Asymmetric unit:
1 Co 0.0000 0.0000 0.0000  4 Si 2.56, 8 Mo 2.69-2.70
2 Si 0.0000 0.0000 0.5000  4 Co 2.56, 8 Mo 2.69-2.70
3 Mo 0.0000 0.5000 0.2500  4 Mo 2.56, 4 Co 2.69-2.70, 4 Si 2.69-2.70

Properties
ΔE_f (raw) = -0.940 eV per formula unit
calculated total energy = -75.9 eV per cell
magnetic moment = 0.000 μB per cell

=====

(9)
Below is a geometry-optimized Co3SiMo2 structure, with properties calculated at the GGA-PBEsol level.

Lattice parameters (Å, degrees): 4.7052 4.7052 7.3065 90.00 90.00 120.00
Closest atoms and distances in Å follow each position.
Space group P6_3/mmc (No. 194)
Asymmetric unit:
1 Co 0.1715 0.3431 0.2500  4 Co 2.28-2.42, 2 Si 2.30
2 Si 0.0000 0.0000 0.0000  6 Co 2.30
3 Mo 0.3333 0.6667 0.5671  9 Co 2.67-2.71, 4 Mo 2.67-2.89, 3 Si 2.76

Properties
ΔE_f (raw) = -2.217 eV per formula unit
calculated total energy = -109.4 eV per cell
magnetic moment = 0.005 μB per cell

=====

(10)
Below is a geometry-optimized Co6SiMo structure, with properties calculated at the GGA-PBEsol level.

Lattice parameters (Å, degrees): 6.9425 9.8840 9.8663 90.00 90.00 90.00
Closest atoms and distances in Å follow each position.
Space group Cmmm (No. 65)
Asymmetric unit:
1 Co 0.0000 0.0000 0.0000  4 Si 2.42-2.55, 8 Co 2.44
2 Co 0.0000 0.0000 0.5000  8 Co 2.44, 2 Si 2.51, 2 Mo 2.54
3 Co 0.0000 0.2489 0.2466  8 Co 2.43-2.50, 2 Si 2.44-2.46, 2 Mo 2.48-2.50
4 Co 0.0000 0.5000 0.0000  2 Si 2.40, 2 Mo 2.43, 8 Co 2.47
5 Co 0.0000 0.5000 0.5000  4 Mo 2.40-2.50, 8 Co 2.49
6 Co 0.2454 0.1238 0.3730  8 Co 2.44-2.51, 1 Si 2.45, 3 Mo 2.47-2.49
7 Co 0.2461 0.1254 0.1230  8 Co 2.43-2.48, 3 Si 2.43-2.47, 1 Mo 2.47
8 Si 0.0000 0.0000 0.2457  12 Co 2.42-2.51
9 Si 0.0000 0.2576 0.0000  12 Co 2.40-2.55
10 Mo 0.0000 0.2567 0.5000  12 Co 2.40-2.54
11 Mo 0.0000 0.5000 0.2462  12 Co 2.43-2.50

Properties
ΔE_f (raw) = -1.732 eV per formula unit
calculated total energy = -525.4 eV per cell
magnetic moment = 0.016 μB per cell

=====

(11)
Below is a geometry-optimized Y2CoSiMo structure, with properties calculated at the GGA-PBEsol level.

Lattice parameters (Å, degrees): 5.0454 5.0454 4.2899 90.00 90.00 90.00
Closest atoms and distances in Å follow each position.
Space group P4/mmm (No. 123)
Asymmetric unit:
1 Y 0.0000 0.5000 0.0000  2 Co 2.52
2 Co 0.0000 0.0000 0.0000  2 Mo 2.14
3 Si 0.5000 0.5000 0.5000  8 Y 3.31, 4 Mo 3.57
4 Mo 0.0000 0.0000 0.5000  2 Co 2.14

Properties
ΔE_f (raw) = 1.559 eV per formula unit
calculated total energy = -37.3 eV per cell
magnetic moment = 0.000 μB per cell

=====

(12)
Below is a geometry-optimized CoSnMo3 structure, with properties calculated at the GGA-PBEsol level.

Lattice parameters (Å, degrees): 4.7931 4.7931 4.7931 90.00 90.00 90.00
Closest atoms and distances in Å follow each position.
Space group Pm-3m (No. 221)
Asymmetric unit:
1 Co 0.0000 0.0000 0.0000  12 Mo 3.39
2 Sn 0.5000 0.5000 0.5000  6 Mo 2.40
3 Mo 0.0000 0.5000 0.5000  2 Sn 2.40

Properties
calculated total energy = -33.5 eV per cell
energy of formation from the pure elements = 63.45 kcal/mol of atoms
magnetic moment = 1.805 μB per cell

=====

(13)
Below is a geometry-optimized SrCoMo structure, with properties calculated at the GGA-PBEsol level.

Lattice parameters (Å, degrees): 3.8951 3.8951 5.0415 90.00 90.00 120.00
Closest atoms and distances in Å follow each position.
Space group P-6m2 (No. 187)
Asymmetric unit:
1 Sr 0.0000 0.0000 0.0000  6 Mo 3.38, 6 Co 3.38
2 Co 0.3333 0.6667 0.5000  3 Mo 2.25
3 Mo 0.6667 0.3333 0.5000  3 Co 2.25

Properties
calculated total energy = -19.5 eV per cell
energy of formation from the pure elements = 14.50 kcal/mol of atoms
magnetic moment = 0.001 μB per cell

=====

(14)
Below is a geometry-optimized TaCo2Mo structure, with properties calculated at the GGA-PBEsol level.

Lattice parameters (Å, degrees): 3.6504 3.6504 7.8975 90.00 90.00 90.00
Closest atoms and distances in Å follow each position.
Space group I-4m2 (No. 119)
Asymmetric unit:
1 Ta 0.0000 0.0000 0.0000  8 Co 2.58-2.69, 4 Mo 2.69
2 Co 0.0000 0.0000 0.5000  4 Ta 2.58, 4 Mo 2.69, 4 Co 2.69
3 Co 0.0000 0.5000 0.7500  4 Mo 2.58, 4 Ta 2.69, 4 Co 2.69
4 Mo 0.0000 0.5000 0.2500  8 Co 2.58-2.69, 4 Ta 2.69

Properties
calculated total energy = -79.1 eV per cell
energy of formation from the pure elements = 1.39 kcal/mol of atoms
magnetic moment = 0.010 μB per cell

=====

(15)
Below is a geometry-optimized TaCoMo2 structure, with properties calculated at the GGA-PBEsol level.

Lattice parameters (Å, degrees): 9.2389 2.6850 4.8540 90.00 101.88 90.00
Closest atoms and distances in Å follow each position.
Space group Cm (No. 8)
Asymmetric unit:
1 Ta 0.0000 0.0000 0.0000  3 Co 2.56-2.76, 2 Ta 2.69, 3 Mo 2.74-2.76
2 Co 0.2365 0.5000 0.1824  4 Mo 2.53-2.70, 3 Ta 2.56-2.76, 2 Co 2.69
3 Mo 0.2191 0.0000 0.6951  5 Mo 2.59-2.86, 4 Co 2.70-2.86, 1 Ta 2.74
4 Mo 0.4481 0.0000 0.4659  2 Co 2.53, 3 Mo 2.59-2.69, 2 Ta 2.76

Properties
calculated total energy = -86.0 eV per cell
energy of formation from the pure elements = 4.68 kcal/mol of atoms
magnetic moment = 0.002 μB per cell

=====

(16)
Below is a geometry-optimized TaCoMo2 structure, with properties calculated at the GGA-PBEsol level.

Lattice parameters (Å, degrees): 2.7340 2.7340 27.5285 90.00 90.00 120.00
Closest atoms and distances in Å follow each position.
Space group R-3m (No. 166, hexagonal axes)
Asymmetric unit:
1 Ta 0.0000 0.0000 0.0000  6 Ta 2.73, 6 Mo 2.99
2 Co 0.0000 0.0000 0.5000  6 Mo 2.59, 6 Co 2.73
3 Mo 0.0000 0.0000 0.2413  3 Co 2.59, 6 Mo 2.73

Properties
calculated total energy = -127.7 eV per cell
energy of formation from the pure elements = 7.26 kcal/mol of atoms
magnetic moment = 1.961 μB per cell

=====

(17)
Below is a geometry-optimized Ta2CoMo structure, with properties calculated at the GGA-PBEsol level.

Lattice parameters (Å, degrees): 2.7285 4.2798 5.2651 90.00 98.61 90.00
Closest atoms and distances in Å follow each position.
Space group P2/m (No. 10)
Asymmetric unit:
1 Ta 0.2467 0.0000 0.2477  2 Co 2.65, 2 Mo 2.66, 4 Ta 2.73-2.81
2 Co 0.5000 0.5000 0.0000  4 Ta 2.65, 2 Co 2.73, 2 Mo 2.78
3 Mo 0.0000 0.5000 0.5000  4 Ta 2.66, 2 Mo 2.73, 2 Co 2.78

Properties
calculated total energy = -44.4 eV per cell
energy of formation from the pure elements = 1.12 kcal/mol of atoms
magnetic moment = 0.639 μB per cell

=====

(18)
Below is a geometry-optimized Ta2CoMo structure, with properties calculated at the GGA-PBEsol level.

Lattice parameters (Å, degrees): 3.1535 3.1535 6.0689 90.00 90.00 90.00
Closest atoms and distances in Å follow each position.
Space group P4/mmm (No. 123)
Asymmetric unit:
1 Ta 0.0000 0.0000 0.2430  4 Co 2.67, 4 Mo 2.72, 1 Ta 2.95
2 Co 0.5000 0.5000 0.0000  8 Ta 2.67
3 Mo 0.5000 0.5000 0.5000  8 Ta 2.72, 2 Co 3.03

Properties
calculated total energy = -45.2 eV per cell
energy of formation from the pure elements = -3.57 kcal/mol of atoms
magnetic moment = 0.002 μB per cell

=====

(19)
Below is a geometry-optimized TaCoMo2 structure, with properties calculated at the GGA-PBEsol level.

Lattice parameters (Å, degrees): 2.7440 2.7440 27.3365 90.00 90.00 120.00
Closest atoms and distances in Å follow each position.
Space group R3m (No. 160, hexagonal axes)
Asymmetric unit:
1 Ta 0.0000 0.0000 0.0000  3 Co 2.67, 6 Ta 2.74, 3 Mo 2.98
2 Co 0.0000 0.0000 0.2548  3 Mo 2.56, 3 Ta 2.67, 6 Co 2.74
3 Mo 0.0000 0.0000 0.5145  3 Co 2.56, 6 Mo 2.74
4 Mo 0.0000 0.0000 0.7589  9 Mo 2.74-2.90, 3 Ta 2.98

Properties
calculated total energy = -127.6 eV per cell
energy of formation from the pure elements = 7.36 kcal/mol of atoms
magnetic moment = 1.593 μB per cell

=====

(20)
Below is a geometry-optimized TaCoMo2 structure, with properties calculated at the GGA-PBEsol level.

Lattice parameters (Å, degrees): 3.1813 4.2715 8.6583 90.00 90.00 90.00
Closest atoms and distances in Å follow each position.
Space group Immm (No. 71)
Asymmetric unit:
1 Ta 0.0000 0.0000 0.0000  4 Co 2.66, 4 Mo 2.68
2 Co 0.0000 0.0000 0.5000  4 Ta 2.66, 4 Mo 2.69
3 Mo 0.0000 0.5000 0.2512  4 Mo 2.66, 2 Ta 2.68, 2 Co 2.69

Properties
calculated total energy = -87.0 eV per cell
energy of formation from the pure elements = 2.00 kcal/mol of atoms
magnetic moment = 2.087 μB per cell